An optimized crystal structure of SrMgInNi2. Source: Alexandria via LeMat-Bulk, functional PBE-GGA.

- DOS at the Fermi energy (states/eV/cell) = 4.227
- energy relative to the elements (kJ/mol of formula units) = 627
- calculated total energy (eV per atom) = -2.216
- calculated density (g cm⁻³) = 3.97
- spin magnetization (Bohr magnetons per cell) = 0.00

```
SrMgInNi2
1.0
4.9363 0.0000 0.0000
0.0000 4.9363 0.0000
0.0000 0.0000 5.9058
Sr Mg In Ni
1 1 1 2
direct
0.0000 0.0000 0.0000 Sr
0.0000 0.0000 0.5000 Mg
0.5000 0.5000 0.5000 In
0.0000 0.5000 0.0000 Ni
0.5000 0.0000 0.0000 Ni
```

=====

An optimized crystal structure of TbMgInNi. Source: Alexandria via LeMat-Bulk, functional PBE-GGA.

- DOS at the Fermi energy (states/eV/cell) = 1.921
- energy relative to the elements (kJ/mol of formula units) = -93
- calculated total energy (eV per atom) = -3.927
- calculated density (g cm⁻³) = 7.15
- spin magnetization (Bohr magnetons per cell) = 0.00

```
TbMgInNi
1.0
0.0000 3.4600 3.4600
3.4600 0.0000 3.4600
3.4600 3.4600 0.0000
Tb Mg In Ni
1 1 1 1
direct
0.0000 0.0000 0.0000 Tb
0.5000 0.5000 0.5000 Mg
0.7500 0.7500 0.7500 In
0.2500 0.2500 0.2500 Ni
```

=====

An optimized crystal structure of MgIn2NiTe. Source: Alexandria via LeMat-Bulk, functional PBE-GGA.

- DOS at the Fermi energy (states/eV/cell) = 1.675
- calculated total energy (eV per atom) = -3.314
- calculated density (g cm⁻³) = 5.80
- E_form (uncorrected) (eV per atom) = -0.116
- spin magnetization (Bohr magnetons per cell) = 0.00

```
MgIn2NiTe
1.0
4.9612 0.0000 0.0000
0.0000 4.9612 0.0000
0.0000 0.0000 5.1168
Mg In Ni Te
1 2 1 1
direct
0.0000 0.0000 0.0000 Mg
0.0000 0.5000 0.5000 In
0.5000 0.0000 0.5000 In
0.0000 0.0000 0.5000 Ni
0.5000 0.5000 0.0000 Te
```

=====

An optimized crystal structure of MgTiInNi. Source: Alexandria via LeMat-Bulk, functional PBE-GGA.

- DOS at the Fermi energy (states/eV/cell) = 2.523
- energy relative to the elements (kJ/mol of formula units) = -34
- calculated total energy (eV per atom) = -4.592
- calculated density (g cm⁻³) = 6.00
- spin magnetization (Bohr magnetons per cell) = 0.00

```
MgTiInNi
1.0
0.0000 3.2389 3.2389
3.2389 0.0000 3.2389
3.2389 3.2389 0.0000
Mg Ti In Ni
1 1 1 1
direct
0.0000 0.0000 0.0000 Mg
0.5000 0.5000 0.5000 Ti
0.2500 0.2500 0.2500 In
0.7500 0.7500 0.7500 Ni
```

=====

An optimized crystal structure of MgTlIn2Ni. Source: Alexandria via LeMat-Bulk, functional PBE-GGA.

- DOS at the Fermi energy (states/eV/cell) = 1.461
- energy relative to the elements (kJ/mol of formula units) = -25
- calculated total energy (eV per atom) = -3.095
- calculated density (g cm⁻³) = 6.94
- spin magnetization (Bohr magnetons per cell) = 0.00

```
MgTlIn2Ni
1.0
4.9823 0.0000 0.0000
0.0000 4.9823 0.0000
0.0000 0.0000 4.9857
Mg Tl In Ni
1 1 2 1
direct
0.0000 0.0000 0.0000 Mg
0.5000 0.5000 0.0000 Tl
0.0000 0.5000 0.5000 In
0.5000 0.0000 0.5000 In
0.0000 0.0000 0.5000 Ni
```

=====

An optimized crystal structure of Mg2TlInNi. Source: Alexandria via LeMat-Bulk, functional PBE-GGA.

- DOS at the Fermi energy (states/eV/cell) = 2.518
- energy relative to the elements (kJ/mol of formula units) = -14
- calculated total energy (eV per atom) = -2.843
- calculated density (g cm⁻³) = 5.86
- spin magnetization (Bohr magnetons per cell) = 0.00

```
Mg2TlInNi
1.0
4.9611 0.0000 0.0000
0.0000 4.9611 0.0000
0.0000 0.0000 4.9069
Mg Tl In Ni
2 1 1 1
direct
0.0000 0.5000 0.0000 Mg
0.5000 0.0000 0.0000 Mg
0.0000 0.0000 0.5000 Tl
0.5000 0.5000 0.5000 In
0.5000 0.5000 0.0000 Ni
```

=====

An optimized crystal structure of Tm2MgInNi. Source: Alexandria via LeMat-Bulk, functional PBE-GGA.

- DOS at the Fermi energy (states/eV/cell) = 7.387
- energy relative to the elements (kJ/mol of formula units) = -149
- calculated total energy (eV per atom) = -4.120
- calculated density (g cm⁻³) = 7.59
- spin magnetization (Bohr magnetons per cell) = 0.00

```
Tm2MgInNi
1.0
7.4758 0.0000 0.0000
0.0000 4.4300 0.0000
-2.7883 0.0000 7.0788
Tm Mg In Ni
4 2 2 2
direct
0.0500 0.2500 0.2310 Tm
0.3144 0.7500 0.6176 Tm
0.6856 0.2500 0.3824 Tm
0.9500 0.7500 0.7690 Tm
0.3521 0.7500 0.1998 Mg
0.6479 0.2500 0.8002 Mg
0.3126 0.2500 0.9444 In
0.6874 0.7500 0.0556 In
0.0648 0.2500 0.5946 Ni
0.9352 0.7500 0.4054 Ni
```

=====

An optimized crystal structure of Y2MgInNi. Source: Alexandria via LeMat-Bulk, functional PBE-GGA.

- DOS at the Fermi energy (states/eV/cell) = 3.472
- energy relative to the elements (kJ/mol of formula units) = -97
- calculated total energy (eV per atom) = -4.810
- calculated density (g cm⁻³) = 4.81
- spin magnetization (Bohr magnetons per cell) = 0.00

```
Y2MgInNi
1.0
5.1656 0.0000 0.0000
0.0000 5.1656 0.0000
0.0000 0.0000 4.8637
Y Mg In Ni
2 1 1 1
direct
0.0000 0.5000 0.0000 Y
0.5000 0.0000 0.0000 Y
0.0000 0.0000 0.5000 Mg
0.5000 0.5000 0.5000 In
0.0000 0.0000 0.0000 Ni
```

=====

An optimized crystal structure of YMgInNi. Source: Alexandria via LeMat-Bulk, functional PBE-GGA.

- DOS at the Fermi energy (states/eV/cell) = 1.638
- energy relative to the elements (kJ/mol of formula units) = -95
- calculated total energy (eV per atom) = -4.391
- calculated density (g cm⁻³) = 5.77
- spin magnetization (Bohr magnetons per cell) = 0.00

```
YMgInNi
1.0
0.0000 3.4561 3.4561
3.4561 0.0000 3.4561
3.4561 3.4561 0.0000
Y Mg In Ni
1 1 1 1
direct
0.0000 0.0000 0.0000 Y
0.5000 0.5000 0.5000 Mg
0.2500 0.2500 0.2500 In
0.7500 0.7500 0.7500 Ni
```

=====

An optimized crystal structure of MgZnInNi. Source: Alexandria via LeMat-Bulk, functional PBE-GGA.

- DOS at the Fermi energy (states/eV/cell) = 1.841
- energy relative to the elements (kJ/mol of formula units) = -24
- calculated total energy (eV per atom) = -2.909
- calculated density (g cm⁻³) = 6.66
- spin magnetization (Bohr magnetons per cell) = 0.00

```
MgZnInNi
1.0
0.0000 3.2014 3.2014
3.2014 0.0000 3.2014
3.2014 3.2014 0.0000
Mg Zn In Ni
1 1 1 1
direct
0.0000 0.0000 0.0000 Mg
0.7500 0.7500 0.7500 Zn
0.5000 0.5000 0.5000 In
0.2500 0.2500 0.2500 Ni
```

=====

An optimized crystal structure of Mg2ZnIn2Ni4. Source: Alexandria via LeMat-Bulk, functional PBE-GGA.

- DOS at the Fermi energy (states/eV/cell) = 6.481
- energy relative to the elements (kJ/mol of formula units) = 59
- calculated total energy (eV per atom) = -3.607
- calculated density (g cm⁻³) = 6.68
- spin magnetization (Bohr magnetons per cell) = 0.00

```
Mg2ZnIn2Ni4
1.0
-2.9557 2.9557 4.1123
2.9557 -2.9557 4.1123
2.9557 2.9557 -4.1123
Mg Zn In Ni
2 1 2 4
direct
0.2030 0.2030 0.0000 Mg
0.7970 0.7970 0.0000 Mg
0.5000 0.5000 0.0000 Zn
0.2500 0.7500 0.5000 In
0.7500 0.2500 0.5000 In
0.2255 0.2255 0.4511 Ni
0.2255 0.7745 0.0000 Ni
0.7745 0.2255 0.0000 Ni
0.7745 0.7745 0.5489 Ni
```

=====

An optimized crystal structure of Mg2ZnIn2Ni2. Source: Alexandria via LeMat-Bulk, functional PBE-GGA.

- DOS at the Fermi energy (states/eV/cell) = 2.110
- energy relative to the elements (kJ/mol of formula units) = -66
- calculated total energy (eV per atom) = -3.170
- calculated density (g cm⁻³) = 6.14
- spin magnetization (Bohr magnetons per cell) = 0.00

```
Mg2ZnIn2Ni2
1.0
4.6099 -2.1577 0.0000
4.6099 2.1577 0.0000
-3.1727 0.0000 6.2629
Mg Zn In Ni
2 1 2 2
direct
0.2253 0.2253 0.2983 Mg
0.7747 0.7747 0.7017 Mg
0.0000 0.0000 0.5000 Zn
0.4950 0.4950 0.2057 In
0.5050 0.5050 0.7943 In
0.2074 0.2074 0.8719 Ni
0.7926 0.7926 0.1281 Ni
```

=====

An optimized crystal structure of Mg2ZrInNi. Source: Alexandria via LeMat-Bulk, functional PBE-GGA.

- DOS at the Fermi energy (states/eV/cell) = 8.601
- energy relative to the elements (kJ/mol of formula units) = 713
- calculated total energy (eV per atom) = -2.572
- calculated density (g cm⁻³) = 3.10
- spin magnetization (Bohr magnetons per cell) = 1.93

```
Mg2ZrInNi
1.0
5.5399 0.0000 0.0000
0.0000 5.5399 0.0000
0.0000 0.0000 5.4640
Mg Zr In Ni
2 1 1 1
direct
0.0000 0.5000 0.0000 Mg
0.5000 0.0000 0.0000 Mg
0.0000 0.0000 0.0000 Zr
0.0000 0.0000 0.5000 In
0.5000 0.5000 0.5000 Ni
```